A plane-wave DFT calculation with GGA-PBE was carried out for crystalline LaBiH6Pt2 at its relaxed geometry.

a b c (Å): 9.537 9.368 6.578
angles (deg): 90.00 116.13 90.00
Space group C2/c (No. 15)
Asymmetric unit:
La  0.000  0.151  0.250 [4 per cell]
Bi  0.000  0.424  0.750 [4 per cell]
H  0.081  0.167  0.673 [8 per cell]
H  0.160  0.047  0.052 [8 per cell]
H  0.172  0.273  0.107 [8 per cell]
Pt  0.249  0.088  0.728 [8 per cell]

Summary:
- Mass density: 9.4 g cm⁻³
- E: -4.40 eV per atom